Below is crystalline KMn2Os at its relaxed geometry, with properties calculated at the GGA-PBE level.

Offset from the most stable computed form ... 0.918 eV per atom
Calculated formation energy ... 1.595 eV per atom
Space group ... I-42d

Lattice parameters (Å, degrees): 7.130 7.130 6.123 90.00 90.00 90.00
Atoms (fractional coordinates):
K (0.000, 0.000, 0.000)
K (0.000, 0.500, 0.250)
K (0.500, 0.000, 0.750)
K (0.500, 0.500, 0.500)
Mn (0.173, 0.250, 0.625)
Mn (0.250, 0.673, 0.875)
Mn (0.250, 0.827, 0.375)
Mn (0.327, 0.250, 0.125)
Mn (0.673, 0.750, 0.125)
Mn (0.750, 0.173, 0.375)
Mn (0.750, 0.327, 0.875)
Mn (0.827, 0.750, 0.625)
Os (0.000, 0.000, 0.500)
Os (0.000, 0.500, 0.750)
Os (0.500, 0.000, 0.250)
Os (0.500, 0.500, 0.000)

***

Below is crystalline K2MnOs at its relaxed geometry, with properties calculated at the GGA-PBE level.

Offset from the most stable computed form ... 0.065 eV per atom
Calculated formation energy ... 0.790 eV per atom
Space group ... Immm

Lattice parameters (Å, degrees): 2.868 4.158 20.325 90.00 90.00 90.00
Atoms (fractional coordinates):
K (0.000, 0.000, 0.147)
K (0.000, 0.000, 0.853)
K (0.500, 0.500, 0.353)
K (0.500, 0.500, 0.647)
Mn (0.000, 0.500, 0.000)
Mn (0.500, 0.000, 0.500)
Os (0.000, 0.500, 0.500)
Os (0.500, 0.000, 0.000)

***

Below is crystalline K4MnOs at its relaxed geometry, with properties calculated at the GGA-PBE level.

Calculated formation energy ... 1.558 eV per atom
Space group ... F-43m

Lattice parameters (Å, degrees): 6.678 6.678 6.678 60.00 60.00 60.00
Atoms (fractional coordinates):
K (0.376, 0.376, 0.376)
K (0.376, 0.376, 0.871)
K (0.376, 0.871, 0.376)
K (0.871, 0.376, 0.376)
Mn (0.000, 0.000, 0.000)
Os (0.750, 0.750, 0.750)

***

Below is crystalline K2MnOs at its relaxed geometry, with properties calculated at the GGA-PBE level.

Offset from the most stable computed form ... 0.573 eV per atom
Calculated formation energy ... 1.298 eV per atom
Space group ... P2/m

Lattice parameters (Å, degrees): 2.798 5.816 5.166 90.00 93.72 90.00
Atoms (fractional coordinates):
K (0.227, 0.000, 0.249)
K (0.773, 0.000, 0.751)
Mn (0.000, 0.500, 0.500)
Os (0.500, 0.500, 0.000)

***

Below is crystalline K2MnOs at its relaxed geometry, with properties calculated at the GGA-PBE level.

Offset from the most stable computed form ... 0.684 eV per atom
Calculated formation energy ... 1.409 eV per atom
Space group ... I4/mmm

Lattice parameters (Å, degrees): 3.985 3.985 11.210 90.00 90.00 90.00
Atoms (fractional coordinates):
K (0.000, 0.500, 0.250)
K (0.000, 0.500, 0.750)
K (0.500, 0.000, 0.250)
K (0.500, 0.000, 0.750)
Mn (0.000, 0.000, 0.000)
Mn (0.500, 0.500, 0.500)
Os (0.000, 0.000, 0.500)
Os (0.500, 0.500, 0.000)

***

Below is crystalline K2MnOs at its relaxed geometry, with properties calculated at the GGA-PBE level.

Offset from the most stable computed form ... 0.655 eV per atom
Calculated formation energy ... 1.380 eV per atom
Space group ... P4/mmm

Lattice parameters (Å, degrees): 2.807 2.807 11.709 90.00 90.00 90.00
Atoms (fractional coordinates):
K (0.000, 0.000, 0.231)
K (0.000, 0.000, 0.769)
Mn (0.500, 0.500, 0.500)
Os (0.500, 0.500, 0.000)

***

Below is crystalline KMn2Os at its relaxed geometry, with properties calculated at the GGA-PBE level.

Offset from the most stable computed form ... 0.153 eV per atom
Calculated formation energy ... 0.830 eV per atom
Space group ... R3m

Lattice parameters (Å, degrees): 2.782 2.782 30.037 90.00 90.00 120.00
Atoms (fractional coordinates):
K (0.000, 0.000, 0.000)
K (0.333, 0.667, 0.667)
K (0.667, 0.333, 0.333)
Mn (0.000, 0.000, 0.503)
Mn (0.000, 0.000, 0.768)
Mn (0.333, 0.667, 0.170)
Mn (0.333, 0.667, 0.435)
Mn (0.667, 0.333, 0.102)
Mn (0.667, 0.333, 0.836)
Os (0.000, 0.000, 0.234)
Os (0.333, 0.667, 0.901)
Os (0.667, 0.333, 0.568)

***

Below is crystalline KMn2Os at its relaxed geometry, with properties calculated at the GGA-PBE level.

Offset from the most stable computed form ... 0.482 eV per atom
Calculated formation energy ... 1.159 eV per atom
Space group ... Cmmm

Lattice parameters (Å, degrees): 7.127 7.159 2.701 90.00 90.00 90.00
Atoms (fractional coordinates):
K (0.000, 0.000, 0.000)
K (0.500, 0.500, 0.000)
Mn (0.250, 0.250, 0.500)
Mn (0.250, 0.750, 0.500)
Mn (0.750, 0.250, 0.500)
Mn (0.750, 0.750, 0.500)
Os (0.000, 0.500, 0.000)
Os (0.500, 0.000, 0.000)

***

Below is crystalline K2MnOs at its relaxed geometry, with properties calculated at the GGA-PBE level.

Offset from the most stable computed form ... 0.546 eV per atom
Calculated formation energy ... 1.271 eV per atom
Space group ... I-42d

Lattice parameters (Å, degrees): 12.624 12.624 4.532 90.00 90.00 90.00
Atoms (fractional coordinates):
K (0.043, 0.250, 0.125)
K (0.250, 0.543, 0.375)
K (0.250, 0.957, 0.875)
K (0.457, 0.250, 0.625)
K (0.543, 0.750, 0.625)
K (0.750, 0.043, 0.875)
K (0.750, 0.457, 0.375)
K (0.957, 0.750, 0.125)
Mn (0.000, 0.000, 0.500)
Mn (0.000, 0.500, 0.750)
Mn (0.500, 0.000, 0.250)
Mn (0.500, 0.500, 0.000)
Os (0.000, 0.000, 0.000)
Os (0.000, 0.500, 0.250)
Os (0.500, 0.000, 0.750)
Os (0.500, 0.500, 0.500)

***

Below is crystalline KMn2Os at its relaxed geometry, with properties calculated at the GGA-PBE level.

Offset from the most stable computed form ... 0.728 eV per atom
Calculated formation energy ... 1.405 eV per atom
Space group ... Pmmm

Lattice parameters (Å, degrees): 2.688 4.972 5.454 90.00 90.00 90.00
Atoms (fractional coordinates):
K (0.000, 0.000, 0.000)
Mn (0.000, 0.500, 0.500)
Mn (0.500, 0.500, 0.000)
Os (0.500, 0.000, 0.500)

***

Below is crystalline KMnOs at its relaxed geometry, with properties calculated at the GGA-PBE level.

Offset from the most stable computed form ... 1.854 eV per atom
Calculated formation energy ... 2.699 eV per atom
Space group ... F-43m

Lattice parameters (Å, degrees): 6.819 6.819 6.819 90.00 90.00 90.00
Atoms (fractional coordinates):
K (0.000, 0.000, 0.000)
K (0.000, 0.500, 0.500)
K (0.500, 0.000, 0.500)
K (0.500, 0.500, 0.000)
Mn (0.250, 0.250, 0.250)
Mn (0.250, 0.750, 0.750)
Mn (0.750, 0.250, 0.750)
Mn (0.750, 0.750, 0.250)
Os (0.250, 0.250, 0.750)
Os (0.250, 0.750, 0.250)
Os (0.750, 0.250, 0.250)
Os (0.750, 0.750, 0.750)

***

Below is crystalline KMn2Os at its relaxed geometry, with properties calculated at the GGA-PBE level.

Offset from the most stable computed form ... 0.900 eV per atom
Calculated formation energy ... 1.576 eV per atom
Space group ... Fm-3m

Lattice parameters (Å, degrees): 6.177 6.177 6.177 90.00 90.00 90.00
Atoms (fractional coordinates):
K (0.000, 0.000, 0.000)
K (0.000, 0.500, 0.500)
K (0.500, 0.000, 0.500)
K (0.500, 0.500, 0.000)
Mn (0.250, 0.250, 0.250)
Mn (0.250, 0.250, 0.750)
Mn (0.250, 0.750, 0.250)
Mn (0.250, 0.750, 0.750)
Mn (0.750, 0.250, 0.250)
Mn (0.750, 0.250, 0.750)
Mn (0.750, 0.750, 0.250)
Mn (0.750, 0.750, 0.750)
Os (0.000, 0.000, 0.500)
Os (0.000, 0.500, 0.000)
Os (0.500, 0.000, 0.000)
Os (0.500, 0.500, 0.500)

***

Below is crystalline K2MnOsPd at its relaxed geometry, with properties calculated at the GGA-PBE level.

Calculated formation energy ... 1.593 eV per atom
Space group ... P4/mmm

Lattice parameters (Å, degrees): 5.960 5.960 4.944 90.00 90.00 90.00
Atoms (fractional coordinates):
K (0.000, 0.500, 0.000)
K (0.500, 0.000, 0.000)
Mn (0.000, 0.000, 0.500)
Os (0.500, 0.500, 0.500)
Pd (0.000, 0.000, 0.000)

***

Below is crystalline KMn2OsRu at its relaxed geometry, with properties calculated at the GGA-PBE level.

Calculated formation energy ... 1.123 eV per atom
Space group ... P4/mmm

Lattice parameters (Å, degrees): 4.970 4.970 4.720 90.00 90.00 90.00
Atoms (fractional coordinates):
K (0.000, 0.000, 0.000)
Mn (0.000, 0.500, 0.500)
Mn (0.500, 0.000, 0.500)
Os (0.500, 0.500, 0.500)
Ru (0.500, 0.500, 0.000)

***

Below is crystalline KMnSbOs2 at its relaxed geometry, with properties calculated at the GGA-PBE level.

Formation energy without anion corrections ... 2991 meV/atom
Space group ... P4/mmm

Lattice parameters (Å, degrees): 4.732 4.732 4.651 90.00 90.00 90.00
Atoms (fractional coordinates):
K (0.000, 0.000, 0.000)
Mn (0.000, 0.000, 0.500)
Sb (0.500, 0.500, 0.500)
Os (0.000, 0.500, 0.000)
Os (0.500, 0.000, 0.000)

***

Below is crystalline K2ScMnOs at its relaxed geometry, with properties calculated at the GGA-PBE level.

Calculated formation energy ... 1.508 eV per atom
Space group ... P4/mmm

Lattice parameters (Å, degrees): 6.485 6.485 4.636 90.00 90.00 90.00
Atoms (fractional coordinates):
K (0.000, 0.500, 0.000)
K (0.500, 0.000, 0.000)
Sc (0.000, 0.000, 0.000)
Mn (0.500, 0.500, 0.500)
Os (0.000, 0.000, 0.500)

***

Below is crystalline K2TaMnOs at its relaxed geometry, with properties calculated at the GGA-PBE level.

Calculated formation energy ... 1.889 eV per atom
Space group ... P4/mmm

Lattice parameters (Å, degrees): 6.602 6.602 4.653 90.00 90.00 90.00
Atoms (fractional coordinates):
K (0.000, 0.500, 0.000)
K (0.500, 0.000, 0.000)
Ta (0.000, 0.000, 0.000)
Mn (0.500, 0.500, 0.500)
Os (0.000, 0.000, 0.500)

***

Below is crystalline KMnTl2Os at its relaxed geometry, with properties calculated at the GGA-PBE level.

Calculated formation energy ... 1.164 eV per atom
Space group ... P4/mmm

Lattice parameters (Å, degrees): 5.328 5.328 5.933 90.00 90.00 90.00
Atoms (fractional coordinates):
K (0.000, 0.000, 0.000)
Mn (0.500, 0.500, 0.000)
Tl (0.000, 0.500, 0.500)
Tl (0.500, 0.000, 0.500)
Os (0.000, 0.000, 0.500)

***

Below is crystalline K2MnP2 at its relaxed geometry, with properties calculated at the GGA-PBE level.

Calculated formation energy ... 0.619 eV per atom
Space group ... P4/mbm

Lattice parameters (Å, degrees): 9.407 9.407 2.846 90.00 90.00 90.00
Atoms (fractional coordinates):
K (0.119, 0.381, 0.000)
K (0.381, 0.881, 0.000)
K (0.619, 0.119, 0.000)
K (0.881, 0.619, 0.000)
Mn (0.000, 0.000, 0.000)
Mn (0.500, 0.500, 0.000)
P (0.181, 0.681, 0.500)
P (0.319, 0.181, 0.500)
P (0.681, 0.819, 0.500)
P (0.819, 0.319, 0.500)

***

Below is crystalline KMn4P at its relaxed geometry, with properties calculated at the GGA-PBE level.

Calculated formation energy ... 0.869 eV per atom
Space group ... F-43m

Lattice parameters (Å, degrees): 5.460 5.460 5.460 60.00 60.00 60.00
Atoms (fractional coordinates):
K (0.000, 0.000, 0.000)
Mn (0.127, 0.624, 0.624)
Mn (0.624, 0.127, 0.624)
Mn (0.624, 0.624, 0.127)
Mn (0.624, 0.624, 0.624)
P (0.250, 0.250, 0.250)